Record 1
The following is a DFT calculation (SCAN) of a PBEsol-optimized structure of TcRh.

Output
E	-2.5139	Ry/atom
total magnetic moment	0.00	μB per atom
energy of formation from the pure elements	0.212	eV per atom
energy relative to the lowest polymorph listed for this composition	0.4286	eV per atom

abc: 4.496 4.496 4.496
angles: 55.99 55.99 55.99
Positions (direct):
Tc (0.162, 0.162, 0.162)
Tc (0.838, 0.838, 0.838)
Rh (0.385, 0.385, 0.385)
Rh (0.615, 0.615, 0.615)


Record 2
The following is a DFT calculation (SCAN) of a PBEsol-optimized structure of Y2TlOs.

Output
E	-3.6694	Ry/atom
total magnetic moment	0.00	μB per atom
energy of formation from the pure elements	0.056	eV per atom
energy relative to the lowest polymorph listed for this composition	0.5499	eV per atom

abc: 3.463 4.520 6.038
angles: 90.00 90.00 90.00
Positions (direct):
Y (0.000, 0.000, 0.000)
Y (0.500, 0.500, 0.334)
Tl (0.500, 0.500, 0.808)
Os (0.000, 0.000, 0.454)


Record 3
The following is a DFT calculation (SCAN) of a PBEsol-optimized structure of K2CdIn.

Output
E	-1.4871	Ry/atom
total magnetic moment	0.00	μB per atom
energy of formation from the pure elements	-0.118	eV per atom

abc: 5.024 6.845 6.845
angles: 42.23 90.00 90.00
Positions (direct):
K (0.000, 0.000, 0.000)
K (0.500, 0.309, 0.309)
Cd (0.000, 0.703, 0.703)
In (0.500, 0.603, 0.603)


Record 4
The following is a DFT calculation (SCAN) of a PBEsol-optimized structure of Tl2SbPb.

Output
formation energy without anion corrections	0.05	eV/atom
E	-4.7326	Ry/atom
total magnetic moment	0.00	μB per atom
energy relative to the lowest polymorph listed for this composition	0.0436	eV per atom

abc: 5.443 5.443 5.443
angles: 60.00 60.00 60.00
Positions (direct):
Tl (0.000, 0.000, 0.000)
Tl (0.250, 0.250, 0.250)
Sb (0.500, 0.500, 0.500)
Pb (0.750, 0.750, 0.750)


Record 5
The following is a DFT calculation (SCAN) of a PBEsol-optimized structure of GaPdI2N.

Output
formation energy without anion corrections	0.72	eV/atom
E	-1.8859	Ry/atom
total magnetic moment	0.38	μB per atom

abc: 5.667 5.667 3.500
angles: 90.00 90.00 90.00
Positions (direct):
Ga (0.000, 0.000, 0.000)
Pd (0.500, 0.500, 0.500)
I (0.000, 0.500, 0.000)
I (0.500, 0.000, 0.000)
N (0.000, 0.000, 0.500)


Record 6
The following is a DFT calculation (SCAN) of a PBEsol-optimized structure of Nb2PH2.

Output
E	-1.2585	Ry/atom
total magnetic moment	0.00	μB per atom

abc: 5.786 5.786 5.786
angles: 148.59 148.59 45.01
Positions (direct):
Nb (0.135, 0.135, 0.000)
Nb (0.865, 0.865, 0.000)
P (0.500, 0.500, 0.000)
H (0.250, 0.750, 0.500)
H (0.750, 0.250, 0.500)


Record 7
The following is a DFT calculation (SCAN) of a PBEsol-optimized structure of ZnPtRh2.

Output
E	-2.7973	Ry/atom
total magnetic moment	0.00	μB per atom
energy of formation from the pure elements	-0.246	eV per atom

abc: 4.643 4.643 4.642
angles: 100.05 100.05 33.99
Positions (direct):
Zn (0.000, 0.000, 0.000)
Pt (0.751, 0.751, 0.238)
Rh (0.251, 0.251, 0.733)
Rh (0.503, 0.503, 0.509)


Record 8
The following is a DFT calculation (SCAN) of a PBEsol-optimized structure of Mg3Mo.

Output
E	-0.8867	Ry/atom
total magnetic moment	0.01	μB per atom
energy of formation from the pure elements	0.387	eV per atom
energy relative to the lowest polymorph listed for this composition	0.1025	eV per atom

abc: 5.875 5.875 4.889
angles: 90.00 90.00 120.00
Positions (direct):
Mg (0.172, 0.344, 0.250)
Mg (0.172, 0.828, 0.250)
Mg (0.344, 0.172, 0.750)
Mg (0.656, 0.828, 0.250)
Mg (0.828, 0.172, 0.750)
Mg (0.828, 0.656, 0.750)
Mo (0.333, 0.667, 0.750)
Mo (0.667, 0.333, 0.250)


Record 9
The following is a DFT calculation (SCAN) of a PBEsol-optimized structure of TlCd5.

Output
E	-2.7455	Ry/atom
total magnetic moment	0.00	μB per atom
energy of formation from the pure elements	0.050	eV per atom
energy relative to the lowest polymorph listed for this composition	0.0103	eV per atom

abc: 6.963 6.963 6.387
angles: 101.27 101.27 26.04
Positions (direct):
Tl (0.000, 0.000, 0.000)
Cd (0.000, 0.000, 0.500)
Cd (0.324, 0.324, 0.168)
Cd (0.333, 0.333, 0.652)
Cd (0.667, 0.667, 0.348)
Cd (0.676, 0.676, 0.832)


Record 10
The following is a DFT calculation (SCAN) of a PBEsol-optimized structure of HfMgBe3.

Output
E	-1.1106	Ry/atom
total magnetic moment	0.00	μB per atom
energy of formation from the pure elements	1.031	eV per atom

abc: 4.148 4.148 4.148
angles: 90.00 90.00 90.00
Positions (direct):
Hf (0.000, 0.000, 0.000)
Mg (0.500, 0.500, 0.500)
Be (0.000, 0.500, 0.500)
Be (0.500, 0.000, 0.500)
Be (0.500, 0.500, 0.000)


Record 11
The following is a DFT calculation (SCAN) of a PBEsol-optimized structure of CsAlP2S.

Output
formation energy without anion corrections	0.07	eV/atom
E	-1.1117	Ry/atom
total magnetic moment	0.00	μB per atom

abc: 4.795 4.795 4.899
angles: 90.00 90.00 90.00
Positions (direct):
Cs (0.000, 0.000, 0.000)
Al (0.500, 0.500, 0.500)
P (0.000, 0.500, 0.500)
P (0.500, 0.000, 0.500)
S (0.500, 0.500, 0.000)


Record 12
The following is a DFT calculation (SCAN) of a PBEsol-optimized structure of Be2SiBr.

Output
formation energy without anion corrections	0.39	eV/atom
E	-0.6731	Ry/atom
total magnetic moment	0.00	μB per atom
energy relative to the lowest polymorph listed for this composition	0.1077	eV per atom

abc: 6.570 6.570 6.570
angles: 29.16 29.16 29.16
Positions (direct):
Be (0.238, 0.238, 0.238)
Be (0.762, 0.762, 0.762)
Si (0.500, 0.500, 0.500)
Br (0.000, 0.000, 0.000)


Record 13
The following is a DFT calculation (SCAN) of a PBEsol-optimized structure of Sr2IrAu.

Output
E	-3.3970	Ry/atom
total magnetic moment	0.01	μB per atom
energy of formation from the pure elements	-0.018	eV per atom

abc: 3.641 3.641 8.523
angles: 90.00 90.00 90.00
Positions (direct):
Sr (0.000, 0.000, 0.000)
Sr (0.500, 0.500, 0.426)
Ir (0.500, 0.500, 0.761)
Au (0.000, 0.000, 0.660)


Record 14
The following is a DFT calculation (SCAN) of a PBEsol-optimized structure of Zr3HW.

Output
E	-2.4192	Ry/atom
total magnetic moment	0.00	μB per atom

abc: 4.349 4.349 4.349
angles: 90.00 90.00 90.00
Positions (direct):
Zr (0.000, 0.000, 0.500)
Zr (0.000, 0.500, 0.000)
Zr (0.500, 0.000, 0.000)
H (0.000, 0.000, 0.000)
W (0.500, 0.500, 0.500)


Record 15
The following is a DFT calculation (SCAN) of a PBEsol-optimized structure of PrCoC2.

Output
E	-1.5046	Ry/atom
total magnetic moment	0.00	μB per atom
energy of formation from the pure elements	-0.263	eV per atom

abc: 3.779 3.779 7.332
angles: 98.29 98.29 90.02
Positions (direct):
Pr (0.073, 0.927, 0.500)
Pr (0.927, 0.073, 0.000)
Co (0.487, 0.627, 0.194)
Co (0.627, 0.487, 0.694)
C (0.147, 0.510, 0.772)
C (0.408, 0.558, 0.927)
C (0.510, 0.147, 0.272)
C (0.558, 0.408, 0.427)


Record 16
The following is a DFT calculation (SCAN) of a PBEsol-optimized structure of Ca2SnS4.

Output
formation energy without anion corrections	-1.57	eV/atom
E	-1.1002	Ry/atom
total magnetic moment	0.00	μB per atom
energy relative to the lowest polymorph listed for this composition	0.0000	eV per atom

abc: 13.800 8.140 6.504
angles: 90.00 90.00 90.00
Positions (direct):
Ca (0.000, 0.000, 0.000)
Ca (0.000, 0.500, 0.000)
Ca (0.228, 0.250, 0.490)
Ca (0.272, 0.750, 0.990)
Ca (0.500, 0.000, 0.500)
Ca (0.500, 0.500, 0.500)
Ca (0.728, 0.250, 0.010)
Ca (0.772, 0.750, 0.510)
Sn (0.093, 0.750, 0.414)
Sn (0.407, 0.250, 0.914)
Sn (0.593, 0.750, 0.086)
Sn (0.907, 0.250, 0.586)
S (0.065, 0.250, 0.741)
S (0.093, 0.750, 0.779)
S (0.170, 0.521, 0.246)
S (0.170, 0.979, 0.246)
S (0.330, 0.021, 0.746)
S (0.330, 0.479, 0.746)
S (0.407, 0.250, 0.279)
S (0.435, 0.750, 0.241)
S (0.565, 0.250, 0.759)
S (0.593, 0.750, 0.721)
S (0.670, 0.521, 0.254)
S (0.670, 0.979, 0.254)
S (0.830, 0.021, 0.754)
S (0.830, 0.479, 0.754)
S (0.907, 0.250, 0.221)
S (0.935, 0.750, 0.259)


Record 17
The following is a DFT calculation (SCAN) of a PBEsol-optimized structure of KTc2Cl.

Output
formation energy without anion corrections	0.71	eV/atom
E	-1.5361	Ry/atom
total magnetic moment	0.54	μB per atom
energy relative to the lowest polymorph listed for this composition	0.0000	eV per atom

abc: 3.607 3.607 7.135
angles: 90.00 90.00 90.00
Positions (direct):
K (0.000, 0.000, 0.000)
Tc (0.000, 0.500, 0.500)
Tc (0.500, 0.000, 0.500)
Cl (0.500, 0.500, 0.000)


Record 18
The following is a DFT calculation (SCAN) of a PBEsol-optimized structure of AlTlAg.

Output
E	-2.7197	Ry/atom
total magnetic moment	0.00	μB per atom
energy of formation from the pure elements	0.156	eV per atom

abc: 4.523 4.523 4.523
angles: 60.00 60.00 60.00
Positions (direct):
Al (0.000, 0.000, 0.000)
Tl (0.250, 0.250, 0.250)
Ag (0.750, 0.750, 0.750)


Record 19
The following is a DFT calculation (SCAN) of a PBEsol-optimized structure of ZrAl2Hg.

Output
E	-2.1054	Ry/atom
total magnetic moment	0.00	μB per atom
energy of formation from the pure elements	-0.053	eV per atom

abc: 6.003 6.003 6.003
angles: 103.51 103.51 122.19
Positions (direct):
Zr (0.000, 0.000, 0.000)
Zr (0.750, 0.250, 0.500)
Al (0.151, 0.125, 0.526)
Al (0.375, 0.849, 0.974)
Al (0.599, 0.625, 0.474)
Al (0.875, 0.401, 0.026)
Hg (0.250, 0.750, 0.500)
Hg (0.500, 0.500, 0.000)


Record 20
The following is a DFT calculation (SCAN) of a PBEsol-optimized structure of CoNiOsN2.

Output
formation energy without anion corrections	1.30	eV/atom
E	-1.7266	Ry/atom
total magnetic moment	0.54	μB per atom

abc: 3.703 3.703 4.883
angles: 90.00 90.00 90.00
Positions (direct):
Co (0.000, 0.000, 0.000)
Ni (0.500, 0.500, 0.000)
Os (0.000, 0.000, 0.500)
N (0.000, 0.500, 0.500)
N (0.500, 0.000, 0.500)